Entry from Alexandria: an optimized crystal structure of Sc3Si2Rh2 (PBE-GGA).

Output
The value obtained for the magnetization is 0.000 μB per atom. Its raw formation energy is -0.97 eV per atom.

Structure (CIF):
```
data_Sc3Si2Rh2
_cell_length_a 5.372
_cell_length_b 7.173
_cell_length_c 12.669
_cell_angle_alpha 90.00
_cell_angle_beta 90.00
_cell_angle_gamma 90.00
_space_group_name_H-M_alt 'P b c m'
_space_group_IT_number 57
_space_group_name_Hall '-P 2c 2b'
loop_
_atom_site_label
_atom_site_fract_x
_atom_site_fract_y
_atom_site_fract_z
Sc1 0.131 0.234 0.250
Sc2 0.364 0.598 0.102
Si1 0.182 0.250 0.000
Si2 0.374 0.616 0.750
Rh1 0.128 0.553 0.593
```